Entry 1:
DFT (SCAN) results for a PBEsol-optimized structure of HfAl2Au2.

* total magnetic moment: 0.000 μB per atom
* space-group type: No. 139

Unit cell a=3.8650 b=3.8650 c=6.5309 alpha=107.21 beta=107.21 gamma=90.00
Atoms (fractional coordinates):
Hf  0.0000  0.0000  0.0000
Au  0.3896  0.3896  0.7792
Au  0.6104  0.6104  0.2208
Al  0.2500  0.7500  0.5000
Al  0.7500  0.2500  0.5000

Entry 2:
DFT (SCAN) results for a PBEsol-optimized structure of BeReAs2.

* total magnetic moment: 0.000 μB per atom
* space-group type: No. 10

Unit cell a=3.1706 b=4.2583 c=4.8274 alpha=90.00 beta=109.52 gamma=90.00
Atoms (fractional coordinates):
Re  0.5000  0.5000  0.5000
As  0.6622  0.0000  0.7879
As  0.3378  0.0000  0.2121
Be  0.5000  0.5000  0.0000

What did we get for energy of formation? Answer: -0.636; 0.469 eV/atom, in the order shown.